A plane-wave DFT calculation with PBE-GGA was carried out for a relaxed LiNdSmEu crystal.

abc: 5.681 5.681 5.681
angles: 60.00 60.00 60.00
Each line ends with the local moment (μB).
Fractional coordinates of all 4 atoms:
Eu 0.500 0.500 0.500  6.88
Nd 0.250 0.250 0.250  0.06
Sm 0.750 0.750 0.750  0.06
Li 0.000 0.000 0.000  0.00

**DFT total energy**: -5.213 eV/atom
**Spin magnetization**: 7.38 μB per cell

A plane-wave DFT calculation with PBE-GGA was carried out for a relaxed LiNdEuSn crystal.

abc: 5.459 5.459 5.459
angles: 60.00 60.00 60.00
Each line ends with the local moment (μB).
Fractional coordinates of all 4 atoms:
Eu 0.000 0.000 0.000  6.90
Nd 0.500 0.500 0.500  0.14
Sn 0.250 0.250 0.250  -0.04
Li 0.750 0.750 0.750  0.02

**DFT total energy**: -5.667 eV/atom
**Spin magnetization**: 7.53 μB per cell

A plane-wave DFT calculation with PBE-GGA was carried out for a relaxed SrLiNdEu crystal.

abc: 5.982 5.982 5.982
angles: 60.00 60.00 60.00
Each line ends with the local moment (μB).
Fractional coordinates of all 4 atoms:
Eu 0.500 0.500 0.500  6.96
Sr 0.250 0.250 0.250  0.04
Nd 0.750 0.750 0.750  0.18
Li 0.000 0.000 0.000  0.00

**DFT total energy**: -4.440 eV/atom
**Spin magnetization**: 7.90 μB per cell

A plane-wave DFT calculation with PBE-GGA was carried out for a relaxed LiNdEuTc crystal.

abc: 5.081 5.081 5.081
angles: 60.00 60.00 60.00
Each line ends with the local moment (μB).
Fractional coordinates of all 4 atoms:
Eu 0.500 0.500 0.500  6.76
Nd 0.000 0.000 0.000  0.03
Tc 0.250 0.250 0.250  -0.47
Li 0.750 0.750 0.750  0.03

**DFT total energy**: -6.584 eV/atom
**Spin magnetization**: 6.58 μB per cell